Compound: CrIn2Fe
Source: Alexandria via LeMat-Bulk
Functional: GGA-PBE
Structure: optimized geometry

a = 2.999 Å, b = 2.999 Å, c = 7.823 Å
α = 90.00°, β = 90.00°, γ = 90.00°
Last column: magnetic moment on the atom in μB.
Sites, in units of the cell vectors:
1 In 0.000 0.000 0.990  -0.11
2 In 0.000 0.000 0.510  -0.11
3 Fe 0.500 0.500 0.750  2.40
4 Cr 0.500 0.500 0.250  3.36

Computed properties:
Raw total energy: -5.513 eV/atom
Volume: 17.6 A^3/atom
Energy of formation: 8.716 kcal/mol of atoms
Excess energy over the best structure of this formula in the dataset: 0.097 eV per atom
Total magnetization: 5.8 μB/cell
Space group: No. 123
Fermi-level density of states: 3.141 states/eV/cell